(1)
Here is a geometry-optimized Ce3TmRu8 structure from Alexandria. Energies are from PBE-GGA.

Cell: 5.344 5.344 9.271 Å, 73.25 73.25 60.00°
Fractional positions:
Ru 0.438 0.438 0.191
Ru 0.438 0.933 0.191
Ru 0.933 0.438 0.191
Ru 0.688 0.688 0.937
Ru 0.441 0.938 0.684
Ru 0.938 0.441 0.684
Ru 0.188 0.188 0.436
Ru 0.938 0.938 0.684
Ce 0.499 0.499 0.504
Ce 0.001 0.001 0.997
Ce 0.374 0.374 0.878
Tm 0.876 0.876 0.373

Fermi-level density of states in states/eV per cell: 12.01
Energy in eV per atom: -8.3306
Crystal system: trigonal

---

(2)
Here is a geometry-optimized Mn4Hg structure from Alexandria. Energies are from PBE-GGA.

Cell: 4.880 4.880 4.880 Å, 99.04 99.04 133.30°
Last column: magnetic moment on the atom in μB.
Fractional positions:
Hg 0.000 0.000 0.000  -0.05
Mn 0.397 0.187 0.585  3.34
Mn 0.187 0.603 0.790  3.34
Mn 0.813 0.397 0.210  3.34
Mn 0.603 0.813 0.415  3.34

Offset from the most stable computed form in meV/atom: 56
Fermi-level density of states in states/eV per cell: 4.27
Energy in eV per atom: -6.9281
Crystal system: tetragonal

---

(3)
Here is a geometry-optimized CaSnH2F8 structure from Alexandria. Energies are from PBE-GGA.

Cell: 4.835 5.011 7.012 Å, 97.89 89.80 74.56°
Fractional positions:
F 0.297 0.292 0.562
F 0.703 0.708 0.438
F 0.214 0.742 0.748
F 0.256 0.238 0.000
F 0.786 0.258 0.252
F 0.744 0.762 0.000
F 0.787 0.197 0.789
F 0.213 0.803 0.211
Ca 0.000 0.000 0.500
Sn 0.000 0.000 0.000
H 0.726 0.538 0.338
H 0.274 0.462 0.662

Fermi-level density of states in states/eV per cell: 0.00
Energy in eV per atom: -4.7928
Crystal system: triclinic

---

(4)
Here is a geometry-optimized KRuAu2 structure from Alexandria. Energies are from PBE-GGA.

Cell: 4.836 2.743 6.653 Å, 89.83 90.00 90.00°
Fractional positions:
Au 0.500 0.124 0.226
Au 0.000 0.126 0.923
Ru 0.500 0.627 0.872
K 0.000 0.623 0.479

Offset from the most stable computed form in meV/atom: 57
Fermi-level density of states in states/eV per cell: 1.64
Energy in eV per atom: -3.8572
Crystal system: monoclinic

---

(5)
Here is a geometry-optimized Tb2Sn3Ru structure from Alexandria. Energies are from PBE-GGA.

Cell: 6.056 6.943 6.943 Å, 84.62 90.00 90.00°
Fractional positions:
Sn 0.011 0.160 0.840
Sn 0.262 0.432 0.432
Sn 0.511 0.160 0.840
Sn 0.511 0.840 0.160
Sn 0.011 0.840 0.160
Sn 0.762 0.568 0.568
Tb 0.261 0.895 0.548
Tb 0.761 0.105 0.452
Tb 0.761 0.452 0.105
Tb 0.261 0.548 0.895
Ru 0.261 0.181 0.181
Ru 0.761 0.819 0.819

Fermi-level density of states in states/eV per cell: 5.99
Energy in eV per atom: -5.4926
Crystal system: orthorhombic

---

(6)
Here is a geometry-optimized MnCdInBr5 structure from Alexandria. Energies are from PBE-GGA.

Cell: 7.844 7.844 10.020 Å, 103.49 103.49 106.48°
Last column: magnetic moment on the atom in μB.
Fractional positions:
Br 0.325 0.914 0.614  0.04
Br 0.252 0.381 0.560  0.05
Br 0.381 0.252 0.060  0.05
Br 0.675 0.086 0.386  0.04
Br 0.086 0.675 0.886  0.04
Br 0.748 0.619 0.440  0.05
Br 0.914 0.325 0.114  0.04
Br 0.085 0.915 0.250  0.01
Br 0.619 0.748 0.940  0.05
Br 0.915 0.085 0.750  0.01
Cd 0.000 0.000 0.000  0.02
Cd 0.000 0.000 0.500  0.02
In 0.346 0.654 0.250  0.01
In 0.654 0.346 0.750  0.01
Mn 0.316 0.684 0.750  4.32
Mn 0.684 0.316 0.250  4.32

Fermi-level density of states in states/eV per cell: 0.00
Energy in eV per atom: -3.4017
Crystal system: monoclinic

---

(7)
Here is a geometry-optimized NbTl2Br8 structure from Alexandria. Energies are from PBE-GGA.

Cell: 6.095 8.447 8.447 Å, 73.25 86.12 86.12°
Fractional positions:
Br 0.223 0.905 0.259
Br 0.719 0.150 0.150
Br 0.715 0.617 0.617
Br 0.281 0.850 0.850
Br 0.777 0.741 0.095
Br 0.285 0.383 0.383
Br 0.777 0.095 0.741
Br 0.223 0.259 0.905
Tl 0.788 0.388 0.388
Tl 0.212 0.612 0.612
Nb 0.000 0.000 0.000

Fermi-level density of states in states/eV per cell: 3.83
Energy in eV per atom: -3.2849
Crystal system: monoclinic

---

(8)
Here is a geometry-optimized CsIn2Ag2 structure from Alexandria. Energies are from PBE-GGA.

Cell: 4.494 3.716 9.298 Å, 90.01 104.04 90.00°
Fractional positions:
In 0.664 0.000 0.328
In 0.336 0.000 0.672
Ag 0.200 0.500 0.399
Ag 0.800 0.500 0.601
Cs 0.000 0.500 0.000

Offset from the most stable computed form in meV/atom: 10
Fermi-level density of states in states/eV per cell: 2.49
Energy in eV per atom: -2.4182
Crystal system: monoclinic